A plane-wave DFT calculation with PBE was carried out for a relaxed structure of CaAl2Sb.

abc: 8.284 8.284 6.600
angles: 51.13 51.13 90.00
Atoms (fractional coordinates):
1 Al 0.085 0.625 0.250
2 Sb 0.000 0.000 0.000
3 Al 0.665 0.125 0.250
4 Al 0.375 0.335 0.750
5 Al 0.875 0.915 0.750
6 Ca 0.500 0.500 0.000
7 Ca 0.250 0.750 0.500
8 Sb 0.750 0.250 0.500

Properties
Crystal system: tetragonal
Size of the total moment: 0.00 μB/f.u.
Energy: -28.3 eV/cell
SG: I-42d

---

A plane-wave DFT calculation with PBE was carried out for a relaxed structure of CaAlSb2.

abc: 4.017 4.017 6.443
angles: 90.00 90.00 90.00
Atoms (fractional coordinates):
1 Ca 0.500 0.500 0.750
2 Al 0.500 0.500 0.250
3 Sb 0.000 0.000 0.478
4 Sb 0.000 0.000 0.022

Properties
Crystal system: tetragonal
Size of the total moment: 0.00 μB/f.u.
Energy: -15.1 eV/cell
SG: P4/mmm

---

A plane-wave DFT calculation with PBE was carried out for a relaxed structure of Ca2AlSb2.

abc: 9.171 9.171 3.499
angles: 90.00 90.00 90.00
Atoms (fractional coordinates):
1 Al 0.000 0.000 0.000
2 Al 0.500 0.500 0.000
3 Ca 0.636 0.136 0.000
4 Sb 0.835 0.335 0.500
5 Ca 0.364 0.864 0.000
6 Sb 0.335 0.165 0.500
7 Ca 0.136 0.364 0.000
8 Ca 0.864 0.636 0.000
9 Sb 0.665 0.835 0.500
10 Sb 0.165 0.665 0.500

Properties
Crystal system: tetragonal
Size of the total moment: 0.00 μB/f.u.
Energy: -35.9 eV/cell
SG: P4/mbm

---

A plane-wave DFT calculation with PBE was carried out for a relaxed structure of Sr2CaAl2Sb4.

abc: 4.510 7.912 8.542
angles: 108.50 105.31 90.00
Atoms (fractional coordinates):
1 Al 0.670 0.986 0.340
2 Sb 0.788 0.797 0.576
3 Al 0.330 0.014 0.660
4 Sr 0.874 0.444 0.747
5 Ca 0.000 0.000 0.000
6 Sb 0.516 0.729 0.032
7 Sb 0.212 0.203 0.424
8 Sr 0.126 0.556 0.253
9 Sb 0.484 0.271 0.968

Properties
Crystal system: monoclinic
Size of the total moment: 0.00 μB/f.u.
Energy: -35.5 eV/cell
SG: C2/m

---

A plane-wave DFT calculation with PBE was carried out for a relaxed structure of CaAlSbTe2.

abc: 5.848 5.848 5.769
angles: 90.00 90.00 90.00
Atoms (fractional coordinates):
1 Ca 0.000 0.000 0.000
2 Te 0.500 0.000 0.000
3 Te 0.000 0.500 0.000
4 Al 0.500 0.500 0.500
5 Sb 0.000 0.000 0.500

Properties
Crystal system: tetragonal
Size of the total moment: 0.00 μB/f.u.
Energy: -14.4 eV/cell
SG: P4/mmm

---

A plane-wave DFT calculation with PBE was carried out for a relaxed structure of CaAlSb2Te.

abc: 5.786 5.786 5.756
angles: 90.00 90.00 90.00
Atoms (fractional coordinates):
1 Al 0.500 0.500 0.500
2 Sb 0.000 0.500 0.000
3 Ca 0.000 0.000 0.000
4 Sb 0.500 0.000 0.000
5 Te 0.000 0.000 0.500

Properties
Crystal system: tetragonal
Size of the total moment: 0.00 μB/f.u.
Energy: -14.4 eV/cell
SG: P4/mmm

---

A plane-wave DFT calculation with PBE was carried out for a relaxed structure of CaAlSbTe2.

abc: 5.532 5.532 5.165
angles: 90.00 90.00 90.00
Atoms (fractional coordinates):
1 Ca 0.500 0.500 0.500
2 Al 0.000 0.000 0.000
3 Te 0.000 0.500 0.000
4 Te 0.500 0.000 0.000
5 Sb 0.000 0.000 0.500

Properties
Crystal system: tetragonal
Size of the total moment: 0.00 μB/f.u.
Energy: -17.3 eV/cell
SG: P4/mmm

---

A plane-wave DFT calculation with PBE was carried out for a relaxed structure of CaAlSb2Te.

abc: 5.282 5.282 5.579
angles: 90.00 90.00 90.00
Atoms (fractional coordinates):
1 Ca 0.500 0.500 0.500
2 Sb 0.000 0.500 0.000
3 Sb 0.500 0.000 0.000
4 Al 0.000 0.000 0.000
5 Te 0.000 0.000 0.500

Properties
Crystal system: tetragonal
Size of the total moment: 0.00 μB/f.u.
Energy: -17.5 eV/cell
SG: P4/mmm

---

A plane-wave DFT calculation with PBE was carried out for a relaxed structure of CaZrAlSb2.

abc: 5.393 5.096 5.393
angles: 90.00 90.00 90.00
Last column: magnetic moment on the atom in μB.
Atoms (fractional coordinates):
1 Zr 0.000 0.500 0.000  0.77
2 Sb 0.000 0.000 0.500  -0.02
3 Sb 0.500 0.000 0.000  -0.04
4 Ca 0.500 0.500 0.500  0.07
5 Al 0.000 0.000 0.000  0.01

Properties
Crystal system: tetragonal
Size of the total moment: 1.48 μB/f.u.
Energy: -21.1 eV/cell
SG: P4/mmm

---

A plane-wave DFT calculation with PBE was carried out for a relaxed structure of CaSc3Al8.

abc: 5.423 5.423 9.441
angles: 73.31 73.31 60.00
Atoms (fractional coordinates):
1 Sc 0.375 0.375 0.874
2 Al 0.187 0.187 0.438
3 Al 0.439 0.941 0.181
4 Al 0.937 0.433 0.693
5 Al 0.433 0.937 0.693
6 Al 0.688 0.688 0.937
7 Al 0.937 0.937 0.693
8 Al 0.941 0.439 0.181
9 Sc 0.498 0.498 0.506
10 Sc 0.001 0.001 0.996
11 Ca 0.875 0.875 0.375
12 Al 0.439 0.439 0.181

Properties
Crystal system: trigonal
Size of the total moment: 0.00 μB/f.u.
SG: R3m
Calculated formation energy: -0.42 eV per atom

---

A plane-wave DFT calculation with PBE was carried out for a relaxed structure of Ca2ScAl.

abc: 8.661 8.661 6.897
angles: 51.11 51.11 90.00
Atoms (fractional coordinates):
1 Al 0.500 0.500 0.000
2 Al 0.250 0.750 0.500
3 Ca 0.375 0.405 0.750
4 Ca 0.875 0.845 0.750
5 Ca 0.595 0.125 0.250
6 Sc 0.750 0.250 0.500
7 Sc 0.000 0.000 0.000
8 Ca 0.155 0.625 0.250

Properties
Crystal system: tetragonal
Size of the total moment: 0.01 μB/f.u.
SG: I-42d
Calculated formation energy: 0.31 eV per atom

---

A plane-wave DFT calculation with PBE was carried out for a relaxed structure of CaSc5Al3.

abc: 6.270 8.596 8.596
angles: 120.00 90.00 90.00
Atoms (fractional coordinates):
1 Sc 0.500 0.333 0.667
2 Al 0.750 0.340 0.340
3 Al 0.750 0.000 0.660
4 Sc 0.000 0.333 0.667
5 Ca 0.500 0.000 0.000
6 Sc 0.750 0.000 0.335
7 Ca 0.000 0.000 0.000
8 Al 0.250 0.000 0.340
9 Sc 0.750 0.335 0.000
10 Sc 0.250 0.335 0.335
11 Sc 0.250 0.000 0.665
12 Al 0.250 0.660 0.660
13 Sc 0.000 0.667 0.333
14 Al 0.750 0.660 0.000
15 Al 0.250 0.340 0.000
16 Sc 0.250 0.665 0.000
17 Sc 0.500 0.667 0.333
18 Sc 0.750 0.665 0.665

Properties
Crystal system: hexagonal
Size of the total moment: 0.00 μB/f.u.
SG: P6_3/mcm
Calculated formation energy: -0.28 eV per atom

---

A plane-wave DFT calculation with PBE was carried out for a relaxed structure of Ca3ScAl8.

abc: 5.599 5.599 9.083
angles: 90.00 90.00 120.00
Atoms (fractional coordinates):
1 Al 0.333 0.667 0.998
2 Al 0.993 0.497 0.743
3 Ca 0.000 0.000 0.932
4 Al 0.333 0.667 0.501
5 Ca 0.667 0.333 0.067
6 Al 0.162 0.324 0.256
7 Al 0.676 0.838 0.256
8 Al 0.162 0.838 0.256
9 Sc 0.000 0.000 0.568
10 Al 0.503 0.497 0.743
11 Al 0.503 0.007 0.743
12 Ca 0.667 0.333 0.435

Properties
Crystal system: trigonal
Size of the total moment: 0.00 μB/f.u.
SG: P3m1
Calculated formation energy: -0.34 eV per atom

---

A plane-wave DFT calculation with PBE was carried out for a relaxed structure of Ca2ScAl.

abc: 5.888 5.888 5.888
angles: 132.17 132.17 69.97
Atoms (fractional coordinates):
1 Sc 0.250 0.750 0.500
2 Al 0.750 0.250 0.500
3 Ca 0.000 0.000 0.000
4 Ca 0.500 0.500 0.000

Properties
Crystal system: tetragonal
Size of the total moment: 0.00 μB/f.u.
SG: I4/mmm
Calculated formation energy: 0.05 eV per atom

---

A plane-wave DFT calculation with PBE was carried out for a relaxed structure of CaSc4Al.

abc: 6.014 6.014 6.014
angles: 60.00 60.00 60.00
Atoms (fractional coordinates):
1 Ca 0.000 0.000 0.000
2 Sc 0.376 0.376 0.376
3 Sc 0.376 0.873 0.376
4 Al 0.750 0.750 0.750
5 Sc 0.376 0.376 0.873
6 Sc 0.873 0.376 0.376

Properties
Crystal system: cubic
Size of the total moment: 0.00 μB/f.u.
SG: F-43m
Calculated formation energy: 0.21 eV per atom

---

A plane-wave DFT calculation with PBE was carried out for a relaxed structure of CaScAl4.

abc: 5.505 5.505 5.505
angles: 60.00 60.00 60.00
Atoms (fractional coordinates):
1 Ca 0.250 0.250 0.250
2 Al 0.124 0.625 0.625
3 Al 0.625 0.625 0.124
4 Al 0.625 0.124 0.625
5 Al 0.625 0.625 0.625
6 Sc 0.000 0.000 0.000

Properties
Crystal system: cubic
Size of the total moment: 0.00 μB/f.u.
SG: F-43m
Calculated formation energy: -0.37 eV per atom

---

A plane-wave DFT calculation with PBE was carried out for a relaxed structure of Ca2ScAl.

abc: 3.553 3.547 9.947
angles: 69.23 90.00 90.00
Atoms (fractional coordinates):
1 Ca 0.500 0.221 0.278
2 Al 0.500 0.779 0.721
3 Ca 0.000 0.060 0.941
4 Sc 0.000 0.440 0.560

Properties
Crystal system: monoclinic
Size of the total moment: 0.00 μB/f.u.
SG: Pm
Calculated formation energy: -0.10 eV per atom

---

A plane-wave DFT calculation with PBE was carried out for a relaxed structure of CaSc4Al5.

abc: 3.405 3.405 17.545
angles: 90.00 90.00 90.00
Atoms (fractional coordinates):
1 Al 0.500 0.500 0.119
2 Sc 0.000 0.000 0.786
3 Ca 0.000 0.000 0.000
4 Al 0.500 0.500 0.881
5 Al 0.500 0.500 0.500
6 Sc 0.000 0.000 0.595
7 Al 0.500 0.500 0.690
8 Sc 0.000 0.000 0.214
9 Al 0.500 0.500 0.310
10 Sc 0.000 0.000 0.405

Properties
Crystal system: tetragonal
Size of the total moment: 0.00 μB/f.u.
SG: P4/mmm
Calculated formation energy: -0.39 eV per atom

---

A plane-wave DFT calculation with PBE was carried out for a relaxed structure of Ca2ScAl.

abc: 11.212 11.212 11.212
angles: 18.02 18.02 18.02
Last column: magnetic moment on the atom in μB.
Atoms (fractional coordinates):
1 Ca 0.492 0.492 0.492  0.02
2 Ca 0.008 0.008 0.008  0.02
3 Al 0.750 0.750 0.750  0.00
4 Sc 0.250 0.250 0.250  0.40

Properties
Crystal system: trigonal
Size of the total moment: 0.86 μB/f.u.
SG: R-3m
Calculated formation energy: 0.15 eV per atom

---

A plane-wave DFT calculation with PBE was carried out for a relaxed structure of Ca2ScAl.

abc: 4.682 4.686 4.996
angles: 90.00 90.00 90.00
Atoms (fractional coordinates):
1 Sc 0.500 0.000 0.500
2 Ca 0.000 0.000 0.000
3 Al 0.000 0.500 0.500
4 Ca 0.500 0.500 0.000

Properties
Crystal system: tetragonal
Size of the total moment: 0.00 μB/f.u.
SG: P4/mmm
Calculated formation energy: -0.01 eV per atom

---

A plane-wave DFT calculation with PBE was carried out for a relaxed structure of CaSc3Al8.

abc: 5.432 5.432 8.870
angles: 90.00 90.00 120.00
Atoms (fractional coordinates):
1 Al 0.675 0.838 0.244
2 Al 0.333 0.667 0.001
3 Ca 0.000 0.000 0.566
4 Al 0.333 0.667 0.499
5 Al 0.505 0.010 0.756
6 Sc 0.000 0.000 0.937
7 Al 0.162 0.325 0.244
8 Al 0.505 0.495 0.756
9 Al 0.990 0.495 0.756
10 Al 0.162 0.838 0.244
11 Sc 0.667 0.333 0.067
12 Sc 0.667 0.333 0.429

Properties
Crystal system: trigonal
Size of the total moment: 0.00 μB/f.u.
SG: P3m1
Calculated formation energy: -0.42 eV per atom

---

A plane-wave DFT calculation with PBE was carried out for a relaxed structure of CaScAl3.

abc: 5.201 5.201 5.201
angles: 90.00 90.00 90.00
Atoms (fractional coordinates):
1 Ca 0.500 0.500 0.500
2 Sc 0.000 0.000 0.000
3 Al 0.000 0.500 0.000
4 Al 0.000 0.000 0.500
5 Al 0.500 0.000 0.000

Properties
Crystal system: cubic
Size of the total moment: 0.00 μB/f.u.
SG: Pm-3m
Calculated formation energy: 0.43 eV per atom

---

A plane-wave DFT calculation with PBE was carried out for a relaxed structure of Ca2ScAl.

abc: 5.807 5.807 3.560
angles: 90.00 90.00 108.78
Atoms (fractional coordinates):
1 Ca 0.000 0.000 0.000
2 Ca 0.500 0.500 0.000
3 Sc 0.500 0.000 0.500
4 Al 0.000 0.500 0.500

Properties
Crystal system: orthorhombic
Size of the total moment: 0.00 μB/f.u.
SG: Cmmm
Calculated formation energy: 0.10 eV per atom

---

A plane-wave DFT calculation with PBE was carried out for a relaxed structure of Ca2ScAl.

abc: 3.437 3.437 9.713
angles: 90.00 90.00 90.00
Last column: magnetic moment on the atom in μB.
Atoms (fractional coordinates):
1 Ca 0.000 0.000 0.531  0.01
2 Ca 0.000 0.000 0.969  0.01
3 Al 0.500 0.500 0.750  0.00
4 Sc 0.500 0.500 0.250  0.19

Properties
Crystal system: tetragonal
Size of the total moment: 0.34 μB/f.u.
SG: P4/mmm
Calculated formation energy: 0.04 eV per atom

---

A plane-wave DFT calculation with PBE was carried out for a relaxed structure of Ca3ScAl8.

abc: 5.573 5.573 9.710
angles: 73.32 73.32 60.00
Atoms (fractional coordinates):
1 Al 0.687 0.687 0.938
2 Ca 0.501 0.501 0.498
3 Al 0.436 0.934 0.193
4 Al 0.436 0.436 0.193
5 Sc 0.874 0.874 0.377
6 Al 0.938 0.938 0.682
7 Al 0.442 0.938 0.682
8 Al 0.934 0.436 0.193
9 Ca 0.999 0.999 0.002
10 Ca 0.375 0.375 0.875
11 Al 0.188 0.188 0.437
12 Al 0.938 0.442 0.682

Properties
Crystal system: trigonal
Size of the total moment: 0.00 μB/f.u.
SG: R3m
Calculated formation energy: -0.35 eV per atom